[1]
Density functional theory data (GGA-PBE) for a relaxed PuThHgOs crystal.

calculated formation energy: -19 meV per atom
magnetization: 5.2 μB/cell
space group: No. 216

a = 5.126 Å, b = 5.126 Å, c = 5.126 Å
α = 60.00°, β = 60.00°, γ = 60.00°
Last column: magnetic moment on the atom in μB.
Positions (direct):
Os  0.250  0.250  0.250  -0.44
Hg  0.750  0.750  0.750  0.01
Th  0.000  0.000  0.000  0.12
Pu  0.500  0.500  0.500  5.23


[2]
Density functional theory data (GGA-PBE) for a relaxed PuThHgOs crystal.

calculated formation energy: -148 meV per atom
magnetization: 5.3 μB/cell
space group: No. 99

a = 3.363 Å, b = 3.363 Å, c = 8.519 Å
α = 90.00°, β = 90.00°, γ = 90.00°
Last column: magnetic moment on the atom in μB.
Positions (direct):
Pu  0.500  0.500  0.359  5.17
Th  0.500  0.500  0.781  0.08
Hg  0.000  0.000  0.079  0.01
Os  0.000  0.000  0.567  -0.27


[3]
Density functional theory data (GGA-PBE) for a relaxed TmPuHgOs crystal.

calculated formation energy: -250 meV per atom
magnetization: 5.0 μB/cell
space group: No. 99

a = 3.304 Å, b = 3.304 Å, c = 8.176 Å
α = 90.00°, β = 90.00°, γ = 90.00°
Last column: magnetic moment on the atom in μB.
Positions (direct):
Tm  0.500  0.500  0.784  0.09
Pu  0.500  0.500  0.361  5.06
Hg  0.000  0.000  0.064  0.01
Os  0.000  0.000  0.576  -0.37


[4]
Density functional theory data (GGA-PBE) for a relaxed TmPuHgOs crystal.

calculated formation energy: -67 meV per atom
magnetization: 5.3 μB/cell
space group: No. 216

a = 4.994 Å, b = 4.994 Å, c = 4.994 Å
α = 60.00°, β = 60.00°, γ = 60.00°
Last column: magnetic moment on the atom in μB.
Positions (direct):
Tm  0.500  0.500  0.500  0.14
Os  0.750  0.750  0.750  -0.35
Hg  0.250  0.250  0.250  0.04
Pu  0.000  0.000  0.000  5.16


[5]
Density functional theory data (GGA-PBE) for a relaxed RbHg3Os crystal.

calculated formation energy: 294 meV per atom
magnetization: 0.0 μB/cell
space group: No. 221

a = 5.351 Å, b = 5.351 Å, c = 5.351 Å
α = 90.00°, β = 90.00°, γ = 90.00°
Positions (direct):
Os  0.000  0.000  0.000
Hg  0.000  0.500  0.000
Hg  0.000  0.000  0.500
Hg  0.500  0.000  0.000
Rb  0.500  0.500  0.500


[6]
Density functional theory data (GGA-PBE) for a relaxed RbHgOs3 crystal.

calculated formation energy: 2953 meV per atom
magnetization: 6.9 μB/cell
space group: No. 221

a = 5.166 Å, b = 5.166 Å, c = 5.166 Å
α = 90.00°, β = 90.00°, γ = 90.00°
Last column: magnetic moment on the atom in μB.
Positions (direct):
Os  0.000  0.500  0.000  2.09
Os  0.000  0.000  0.500  2.48
Os  0.500  0.000  0.000  1.62
Hg  0.000  0.000  0.000  0.02
Rb  0.500  0.500  0.500  0.01


[7]
Density functional theory data (GGA-PBE) for a relaxed RbHgOs2 crystal.

calculated formation energy: 1383 meV per atom
magnetization: 0.0 μB/cell
space group: No. 122

a = 4.436 Å, b = 4.436 Å, c = 10.756 Å
α = 78.10°, β = 78.10°, γ = 90.00°
Positions (direct):
Os  0.761  0.125  0.250
Os  0.989  0.625  0.250
Os  0.375  0.239  0.750
Os  0.875  0.011  0.750
Hg  0.000  0.000  0.000
Hg  0.750  0.250  0.500
Rb  0.500  0.500  0.000
Rb  0.250  0.750  0.500


[8]
Density functional theory data (GGA-PBE) for a relaxed RbHgOs3 crystal.

calculated formation energy: 3995 meV per atom
magnetization: 4.4 μB/cell
space group: No. 221

a = 4.829 Å, b = 4.829 Å, c = 4.829 Å
α = 90.00°, β = 90.00°, γ = 90.00°
Last column: magnetic moment on the atom in μB.
Positions (direct):
Os  0.000  0.500  0.000  1.49
Os  0.000  0.000  0.500  1.37
Os  0.500  0.000  0.000  1.36
Hg  0.500  0.500  0.500  -0.03
Rb  0.000  0.000  0.000  0.03


[9]
Density functional theory data (GGA-PBE) for a relaxed RbHg3Os crystal.

calculated formation energy: 1586 meV per atom
magnetization: 3.1 μB/cell
space group: No. 221

a = 6.729 Å, b = 6.729 Å, c = 6.729 Å
α = 90.00°, β = 90.00°, γ = 90.00°
Last column: magnetic moment on the atom in μB.
Positions (direct):
Os  0.500  0.500  0.500  2.92
Hg  0.000  0.500  0.000  -0.01
Hg  0.000  0.000  0.500  -0.01
Hg  0.500  0.000  0.000  -0.01
Rb  0.000  0.000  0.000  -0.01


[10]
Density functional theory data (GGA-PBE) for a relaxed Rb3HgOs crystal.

calculated formation energy: 1056 meV per atom
magnetization: 1.2 μB/cell
space group: No. 221

a = 6.490 Å, b = 6.490 Å, c = 6.490 Å
α = 90.00°, β = 90.00°, γ = 90.00°
Last column: magnetic moment on the atom in μB.
Positions (direct):
Os  0.000  0.000  0.000  1.77
Hg  0.500  0.500  0.500  -0.04
Rb  0.000  0.500  0.000  0.00
Rb  0.000  0.000  0.500  -0.01
Rb  0.500  0.000  0.000  0.00


[11]
Density functional theory data (GGA-PBE) for a relaxed RbTiHgOs2 crystal.

calculated formation energy: 1534 meV per atom
magnetization: 1.4 μB/cell
space group: No. 123

a = 4.652 Å, b = 6.598 Å, c = 4.652 Å
α = 90.00°, β = 90.00°, γ = 90.00°
Last column: magnetic moment on the atom in μB.
Positions (direct):
Os  0.000  0.000  0.500  0.67
Os  0.500  0.000  0.000  0.84
Hg  0.500  0.500  0.500  -0.01
Rb  0.000  0.500  0.000  -0.01
Ti  0.000  0.000  0.000  -0.20


[12]
Density functional theory data (GGA-PBE) for a relaxed ReHgOs2 crystal.

calculated formation energy: 815 meV per atom
magnetization: 0.0 μB/cell
space group: No. 139

a = 4.851 Å, b = 4.851 Å, c = 4.851 Å
α = 131.43°, β = 131.43°, γ = 71.14°
Positions (direct):
Hg  0.750  0.250  0.500
Os  0.000  0.000  0.000
Os  0.500  0.500  0.000
Re  0.250  0.750  0.500


What is the calculated formation energy in the first record? -19 meV per atom


Which value of calculated formation energy does entry 10 give? 1056 meV per atom


Which of these has the highest magnetization? number 6


The highest magnetization belongs to which entry? number 6